No. 1
Density functional theory data (PBE-GGA) for a relaxed AcLaCd crystal.

For the total energy, the calculation gives -35.45 eV for the cell shown. The formation energy is 1.1 eV per formula unit. The total magnetic moment is 0.00 Bohr magnetons per cell.

The space group is F-43m (No. 216) and the conventional cell measures 7.6505, 7.6505 and 7.6505 Å, with angles of 90.00, 90.00 and 90.00 degrees. The inequivalent atoms are Ac at (0.0000, 0.0000, 0.0000), La at (0.2500, 0.2500, 0.2500) and Cd at (0.2500, 0.2500, 0.7500).

=====

No. 2
Density functional theory data (PBE-GGA) for a relaxed Zn2BiW crystal.

For the total energy, the calculation gives -63.72 eV for the cell shown. The total magnetic moment is 0.32 Bohr magnetons per cell.

The space group is F-43m (No. 216) and the conventional cell measures 6.7046, 6.7046 and 6.7046 Å, with angles of 90.00, 90.00 and 90.00 degrees. The inequivalent atoms are Zn at (0.0000, 0.0000, 0.0000), Zn at (0.2500, 0.2500, 0.2500), Bi at (0.0000, 0.0000, 0.5000) and W at (0.2500, 0.2500, 0.7500).

=====

No. 3
Density functional theory data (PBE-GGA) for a relaxed BaHfBeNi crystal.

For the total energy, the calculation gives -74.78 eV for the cell shown. The total magnetic moment is 0.01 Bohr magnetons per cell.

The space group is F-43m (No. 216) and the conventional cell measures 6.9374, 6.9374 and 6.9374 Å, with angles of 90.00, 90.00 and 90.00 degrees. The inequivalent atoms are Ba at (0.0000, 0.0000, 0.0000), Hf at (0.0000, 0.0000, 0.5000), Be at (0.2500, 0.2500, 0.7500) and Ni at (0.2500, 0.2500, 0.2500).

=====

No. 4
Density functional theory data (PBE-GGA) for a relaxed Os crystal.

For the total energy, the calculation gives -32.62 eV for the cell shown. The formation energy is 0.4 eV per formula unit. The total magnetic moment is 0.00 Bohr magnetons per cell.

The space group is P6/mmm (No. 191) and the conventional cell measures 4.3234, 4.3234 and 2.7146 Å, with angles of 90.00, 90.00 and 120.00 degrees. The inequivalent atoms are Os at (0.0000, 0.0000, 0.0000) and Os at (0.3333, 0.6667, 0.5000).

=====

No. 5
Density functional theory data (PBE-GGA) for a relaxed SmCd crystal.

For the total energy, the calculation gives -5.82 eV for the cell shown. The formation energy is -0.2 eV per formula unit. The total magnetic moment is 0.02 Bohr magnetons per cell.

The space group is P-6m2 (No. 187) and the conventional cell measures 3.4873, 3.4873 and 5.2752 Å, with angles of 90.00, 90.00 and 120.00 degrees. The inequivalent atoms are Sm at (0.0000, 0.0000, 0.0000) and Cd at (0.3333, 0.6667, 0.5000).

=====

No. 6
Density functional theory data (PBE-GGA) for a relaxed Cu5Ag4 crystal.

For the total energy, the calculation gives -58.08 eV for the cell shown. The formation energy is 0.8 eV per formula unit.

The space group is C2/m (No. 12) and the conventional cell measures 14.1132, 2.7753 and 6.6586 Å, with angles of 90.00, 92.14 and 90.00 degrees. The inequivalent atoms are Cu at (0.0000, 0.0000, 0.0000), Cu at (0.0596, 0.5000, 0.2995), Cu at (0.1587, 0.5000, 0.9869), Ag at (0.0982, 0.0000, 0.6505) and Ag at (0.2219, 0.0000, 0.3137).

=====

No. 7
Density functional theory data (PBE-GGA) for a relaxed RbHoFeSe3 crystal.

For the total energy, the calculation gives -121.60 eV for the cell shown. The total magnetic moment is 15.98 Bohr magnetons per cell.

The space group is C2/m (No. 12) and the conventional cell measures 17.5334, 4.2175 and 8.9563 Å, with angles of 90.00, 102.49 and 90.00 degrees. The inequivalent atoms are Rb at (0.1483, 0.0000, 0.0680), Ho at (0.1671, 0.0000, 0.5768), Fe at (0.0083, 0.5000, 0.7263), Se at (0.0000, 0.0000, 0.5000), Se at (0.0000, 0.5000, 0.0000), Se at (0.1554, 0.5000, 0.7816) and Se at (0.1644, 0.5000, 0.3605).

=====

No. 8
Density functional theory data (PBE-GGA) for a relaxed TbFe4Sn6 crystal.

For the total energy, the calculation gives -126.53 eV for the cell shown. The total magnetic moment is 2.00 Bohr magnetons per cell.

The space group is I-42m (No. 121) and the conventional cell measures 6.6776, 6.6776 and 9.4854 Å, with angles of 90.00, 90.00 and 90.00 degrees. The inequivalent atoms are Tb at (0.0000, 0.0000, 0.0000), Fe at (0.1621, 0.1621, 0.4251), Sn at (0.0000, 0.5000, 0.0000) and Sn at (0.1807, 0.1807, 0.7103).

=====

No. 9
Density functional theory data (PBE-GGA) for a relaxed Pr2GdMg3CuPd2 crystal.

For the total energy, the calculation gives -74.98 eV for the cell shown. The total magnetic moment is 0.00 Bohr magnetons per cell.

The space group is Amm2 (No. 38) and the conventional cell measures 4.1076, 13.2031 and 7.6352 Å, with angles of 90.00, 90.00 and 90.00 degrees. The inequivalent atoms are Pr at (0.0000, 0.2071, 0.0000), Gd at (0.0000, 0.0000, 0.6189), Mg at (0.5000, 0.0000, 0.9655), Mg at (0.5000, 0.1185, 0.3282), Cu at (0.0000, 0.0000, 0.2117) and Pd at (0.5000, 0.1620, 0.7043).

=====

No. 10
Density functional theory data (PBE-GGA) for a relaxed GdCdRe crystal.

For the total energy, the calculation gives -60.20 eV for the cell shown. The formation energy is 2.9 eV per formula unit. The total magnetic moment is 4.37 Bohr magnetons per cell.

The space group is F-43m (No. 216) and the conventional cell measures 6.6122, 6.6122 and 6.6122 Å, with angles of 90.00, 90.00 and 90.00 degrees. The inequivalent atoms are Gd at (0.0000, 0.0000, 0.0000), Cd at (0.2500, 0.2500, 0.2500) and Re at (0.0000, 0.0000, 0.5000).

=====

No. 11
Density functional theory data (PBE-GGA) for a relaxed Rb2AgGeBr6 crystal.

For the total energy, the calculation gives -58.66 eV for the cell shown.

The space group is I4/m (No. 87) and the conventional cell measures 7.6864, 7.6864 and 11.0573 Å, with angles of 90.00, 90.00 and 90.00 degrees. The inequivalent atoms are Rb at (0.0000, 0.5000, 0.2500), Ag at (0.0000, 0.0000, 0.0000), Ge at (0.0000, 0.0000, 0.5000), Br at (0.0000, 0.0000, 0.2568) and Br at (0.2133, 0.7232, 0.5000).

=====

No. 12
Density functional theory data (PBE-GGA) for a relaxed ZnTc2Te crystal.

For the total energy, the calculation gives -92.95 eV for the cell shown. The total magnetic moment is 0.02 Bohr magnetons per cell.

The space group is F-43m (No. 216) and the conventional cell measures 6.4243, 6.4243 and 6.4243 Å, with angles of 90.00, 90.00 and 90.00 degrees. The inequivalent atoms are Zn at (0.0000, 0.0000, 0.0000), Tc at (0.0000, 0.0000, 0.5000), Tc at (0.2500, 0.2500, 0.2500) and Te at (0.2500, 0.2500, 0.7500).

=====

No. 13
Density functional theory data (PBE-GGA) for a relaxed Er2HgI crystal.

For the total energy, the calculation gives -49.15 eV for the cell shown. The total magnetic moment is 0.00 Bohr magnetons per cell.

The space group is Cmcm (No. 63) and the conventional cell measures 8.2166, 8.1323 and 7.0574 Å, with angles of 90.00, 90.00 and 90.00 degrees. The inequivalent atoms are Er at (0.2468, 0.2444, 0.2500), Hg at (0.0000, 0.5000, 0.0000) and I at (0.0000, 0.0092, 0.7500).